! PtSeS | the Alexandria database | PBE-GGA | optimized geometry; values from VASP
! Crystal system   trigonal
! Uncorrected formation energy   -0.36 eV/atom
! SG   No. 156
&SYSTEM
  ibrav = 0, nat = 3, ntyp = 3
/
ATOMIC_SPECIES
Pt 195.08 Pt.upf
S 32.06 S.upf
Se 78.96 Se.upf
CELL_PARAMETERS angstrom
-1.8406 -0.8840 3.0511
1.9008 -2.5694 -1.8066
4.7134 1.2359 3.2015
ATOMIC_POSITIONS crystal
Pt 0.3333 0.6667 0.0076
S 0.6667 0.3333 0.2137
Se 0.0000 0.0000 0.7786


! DyHoPt | the Alexandria database | PBE-GGA | optimized geometry; values from VASP
! Crystal system   cubic
! DOS at the Fermi energy   1.9 states/eV/cell
! Energy of formation   -0.8818 eV/atom
! SG   No. 216
&SYSTEM
  ibrav = 0, nat = 3, ntyp = 3
/
ATOMIC_SPECIES
Ho 164.93 Ho.upf
Dy 162.50 Dy.upf
Pt 195.08 Pt.upf
CELL_PARAMETERS angstrom
4.8485 0.0000 0.0000
2.4242 4.1989 0.0000
2.4242 1.3996 3.9588
ATOMIC_POSITIONS crystal
Ho 0.0000 0.0000 0.0000
Dy 0.5000 0.5000 0.5000
Pt 0.2500 0.2500 0.2500


! CsGa3Bi2 | the Alexandria database | PBE-GGA | optimized geometry; values from VASP
! Crystal system   monoclinic
! DOS at the Fermi energy   3.1 states/eV/cell
! Energy of formation   -0.0985 eV/atom
! SG   No. 12
&SYSTEM
  ibrav = 0, nat = 12, ntyp = 3
/
ATOMIC_SPECIES
Bi 208.98 Bi.upf
Ga 69.72 Ga.upf
Cs 132.91 Cs.upf
CELL_PARAMETERS angstrom
-4.0190 -1.2005 1.1924
1.4916 -5.0866 7.8795
-1.7039 5.9015 8.1725
ATOMIC_POSITIONS crystal
Bi 0.3841 0.9102 0.3217
Ga 0.0574 0.3340 0.5513
Cs 0.8970 0.2379 0.9682
Ga 0.2511 0.8793 0.6184
Bi 0.2005 0.3343 0.2647
Bi 0.6159 0.0898 0.6783
Ga 0.5541 0.5398 0.3520
Bi 0.7995 0.6657 0.7353
Ga 0.7489 0.1207 0.3816
Ga 0.9426 0.6660 0.4487
Ga 0.4459 0.4602 0.6480
Cs 0.1030 0.7621 0.0318


! LaCuSb2 | the Alexandria database | PBE-GGA | optimized geometry; values from VASP
! Crystal system   tetragonal
! DOS at the Fermi energy   3.0 states/eV/cell
! Uncorrected formation energy   -0.74 eV/atom
! SG   No. 129
&SYSTEM
  ibrav = 0, nat = 8, ntyp = 3
/
ATOMIC_SPECIES
Sb 121.76 Sb.upf
Cu 63.55 Cu.upf
La 138.91 La.upf
CELL_PARAMETERS angstrom
4.4272 0.0000 0.0000
0.0000 4.4272 0.0000
0.0000 0.0000 10.2622
ATOMIC_POSITIONS crystal
Sb 0.7500 0.7500 0.8523
Cu 0.7500 0.2500 0.0000
Cu 0.2500 0.7500 0.0000
La 0.7500 0.7500 0.2486
Sb 0.7500 0.2500 0.5000
Sb 0.2500 0.2500 0.1477
Sb 0.2500 0.7500 0.5000
La 0.2500 0.2500 0.7514


! Nb2CCl2 | the Alexandria database | PBE-GGA | optimized geometry; values from VASP
! Crystal system   trigonal
! DOS at the Fermi energy   1.5 states/eV/cell
! Uncorrected formation energy   -0.97 eV/atom
! SG   No. 166
&SYSTEM
  ibrav = 0, nat = 5, ntyp = 3
/
ATOMIC_SPECIES
Nb 92.91 Nb.upf
Cl 35.45 Cl.upf
C 12.01 C.upf
CELL_PARAMETERS angstrom
3.2886 0.0000 0.6082
1.5880 2.8797 0.6082
-0.1381 -0.0816 9.9414
ATOMIC_POSITIONS crystal
Nb 0.3702 0.3702 0.8894
Cl 0.2347 0.2347 0.2958
Cl 0.7653 0.7653 0.7042
Nb 0.6298 0.6298 0.1106
C 0.0000 0.0000 0.0000


! BeZnTe2 | the Alexandria database | PBE-GGA | optimized geometry; values from VASP
! Crystal system   monoclinic
! DOS at the Fermi energy   0.0 states/eV/cell
! Uncorrected formation energy   -0.31 eV/atom
! SG   No. 14
&SYSTEM
  ibrav = 0, nat = 16, ntyp = 3
/
ATOMIC_SPECIES
Te 127.60 Te.upf
Be 9.01 Be.upf
Zn 65.41 Zn.upf
CELL_PARAMETERS angstrom
20.6385 0.0000 0.3568
0.0000 4.1484 0.0000
-7.3323 0.0000 5.2270
ATOMIC_POSITIONS crystal
Te 0.3578 0.2485 0.5810
Te 0.6341 0.7504 0.8803
Be 0.2564 0.2481 0.1491
Be 0.7564 0.2519 0.6491
Be 0.7436 0.7519 0.8509
Te 0.3659 0.2496 0.1197
Zn 0.5000 0.2502 0.6206
Te 0.1422 0.7485 0.9190
Be 0.2436 0.7481 0.3509
Zn 0.5000 0.7498 0.3794
Zn 0.0000 0.2498 0.1206
Zn 0.0000 0.7502 0.8794
Te 0.1341 0.7496 0.3803
Te 0.8578 0.2515 0.0810
Te 0.6422 0.7515 0.4190
Te 0.8659 0.2504 0.6197


! KPt3O | the Alexandria database | PBE-GGA | optimized geometry; values from VASP
! Crystal system   cubic
! DOS at the Fermi energy   20.7 states/eV/cell
! Uncorrected formation energy   2.81 eV/atom
! SG   No. 221
&SYSTEM
  ibrav = 0, nat = 5, ntyp = 3
/
ATOMIC_SPECIES
Pt 195.08 Pt.upf
O 16.00 O.upf
K 39.10 K.upf
CELL_PARAMETERS angstrom
-3.5747 1.2679 -3.3356
-3.3639 0.3783 3.7488
1.1909 4.8746 0.5766
ATOMIC_POSITIONS crystal
Pt 0.5000 0.0000 0.0000
Pt 0.0000 0.5000 0.0000
Pt 0.0000 0.0000 0.5000
O 0.5000 0.5000 0.5000
K 0.0000 0.0000 0.0000


! KTlSnF6 | the Alexandria database | PBE-GGA | optimized geometry; values from VASP
! Crystal system   trigonal
! DOS at the Fermi energy   0.0 states/eV/cell
! Uncorrected formation energy   -2.51 eV/atom
! SG   No. 163
&SYSTEM
  ibrav = 0, nat = 18, ntyp = 4
/
ATOMIC_SPECIES
Sn 118.71 Sn.upf
F 19.00 F.upf
Tl 204.38 Tl.upf
K 39.10 K.upf
CELL_PARAMETERS angstrom
-5.1735 3.4262 2.1168
-0.8896 -5.7537 -3.0147
0.4859 -4.5885 8.6141
ATOMIC_POSITIONS crystal
Sn 0.3333 0.6667 0.7500
F 0.9228 0.5874 0.3642
Tl 0.0000 0.0000 0.5000
F 0.5874 0.9228 0.8642
F 0.0772 0.4126 0.6358
F 0.5874 0.6646 0.6358
F 0.0772 0.6646 0.8642
F 0.3354 0.4126 0.8642
F 0.4126 0.3354 0.3642
F 0.6646 0.5874 0.1358
Tl 0.0000 0.0000 0.0000
F 0.4126 0.0772 0.1358
F 0.6646 0.0772 0.3642
Sn 0.6667 0.3333 0.2500
F 0.9228 0.3354 0.1358
K 0.3333 0.6667 0.2500
F 0.3354 0.9228 0.6358
K 0.6667 0.3333 0.7500


Number 1: E_tot -4.92 eV/atom, calculated density 7.47 g/cm3. Number 2: E_tot -5.96 eV/atom, calculated density 10.77 g/cm3. Number 3: E_tot -3.05 eV/atom, calculated density 6.56 g/cm3. Number 4: E_tot -5.05 eV/atom, calculated density 7.36 g/cm3. Number 5: E_tot -7.58 eV/atom, calculated density 4.72 g/cm3. Number 6: E_tot -3.13 eV/atom, calculated density 4.78 g/cm3. Number 7: E_tot -2.02 eV/atom, calculated density 8.25 g/cm3. Number 8: E_tot -4.59 eV/atom, calculated density 4.35 g/cm3.